# Rb2AgPb2 (PBE, optimized geometry)
data_Rb2AgPb2
_chemical_formula_sum 'Rb4 Ag2 Pb4'
_symmetry_space_group_name_H-M 'P 4/m b m'
_symmetry_Int_Tables_number 127
_symmetry_space_group_name_Hall '-P 4 2ab'
_cell_length_a 7.769
_cell_length_b 7.769
_cell_length_c 6.253
_cell_angle_alpha 90.00
_cell_angle_beta 90.00
_cell_angle_gamma 90.00
loop_
_atom_site_label
_atom_site_type_symbol
_atom_site_fract_x
_atom_site_fract_y
_atom_site_fract_z
_atom_site_occupancy
Rb1 Rb 0.177 0.323 0.000 1
Ag1 Ag 0.000 0.000 0.500 1
Pb1 Pb 0.141 0.641 0.500 1
# Calculated formation energy, meV per atom: 20
# Final energy, eV/cell: -24.20
# Density of states at the Fermi level, states/eV/atom: 0.988
# Magnetic moment, Bohr magnetons per cell: 0.00
# Energy relative to the lowest polymorph listed for this composition, eV per formula unit: 0.467

***

# PrDy2ErTl2 (PBE, optimized geometry)
data_PrDy2ErTl2
_chemical_formula_sum 'Pr2 Dy4 Er2 Tl4'
_symmetry_space_group_name_H-M 'P m c 21'
_symmetry_Int_Tables_number 26
_symmetry_space_group_name_Hall 'P 2c -2'
_cell_length_a 5.143
_cell_length_b 10.069
_cell_length_c 6.857
_cell_angle_alpha 90.00
_cell_angle_beta 90.00
_cell_angle_gamma 90.00
loop_
_atom_site_label
_atom_site_type_symbol
_atom_site_fract_x
_atom_site_fract_y
_atom_site_fract_z
_atom_site_occupancy
Pr1 Pr 0.000 0.044 0.000 1
Dy1 Dy 0.000 0.318 0.382 1
Dy2 Dy 0.500 0.455 0.095 1
Er1 Er 0.500 0.194 0.722 1
Tl1 Tl 0.000 0.367 0.841 1
Tl2 Tl 0.500 0.137 0.266 1
# Calculated formation energy, meV per atom: -265
# Final energy, eV/cell: -49.74
# Density of states at the Fermi level, states/eV/atom: 1.002
# Magnetic moment, Bohr magnetons per cell: 0.00